No. 1
This record from Alexandria via LeMat-Bulk describes a relaxed GdSnAu4 crystal. The functional is GGA-PBE.

Cell and atoms, written as CIF:
```
data_GdSnAu4
_chemical_formula_sum 'Gd4 Sn4 Au16'
_cell_length_a 7.996
_cell_length_b 7.996
_cell_length_c 7.996
_cell_angle_alpha 90.00
_cell_angle_beta 90.00
_cell_angle_gamma 90.00
_symmetry_space_group_name_H-M 'F -4 3 m'
_symmetry_Int_Tables_number 216
_symmetry_space_group_name_Hall 'F -4 2 3'
loop_
_atom_site_label
_atom_site_type_symbol
_atom_site_fract_x
_atom_site_fract_y
_atom_site_fract_z
Gd1 Gd 0.000 0.000 0.000
Sn1 Sn 0.250 0.250 0.750
Au1 Au 0.125 0.125 0.375
```

Results
V = 21.3 A^3/atom
Fermi-level density of states = 18.634 states/eV per cell
Crystal system = cubic
DFT formation energy = -0.41 eV per atom

No. 2
This record from Alexandria via LeMat-Bulk describes a relaxed K2ZnW crystal. The functional is GGA-PBE.

Cell and atoms, written as CIF:
```
data_K2ZnW
_chemical_formula_sum 'K6 Zn3 W3'
_cell_length_a 2.9711
_cell_length_b 2.9711
_cell_length_c 37.0126
_cell_angle_alpha 90.00
_cell_angle_beta 90.00
_cell_angle_gamma 120.00
_symmetry_space_group_name_H-M 'R -3 m'
_symmetry_Int_Tables_number 166
_symmetry_space_group_name_Hall '-R 3 2"'
loop_
_atom_site_label
_atom_site_type_symbol
_atom_site_fract_x
_atom_site_fract_y
_atom_site_fract_z
K1 K 0.0000 0.0000 0.2491
Zn1 Zn 0.0000 0.0000 0.0000
W1 W 0.0000 0.0000 0.5000
```

Results
V = 23.6 A^3/atom
Fermi-level density of states = 10.708 states/eV per cell
Crystal system = trigonal
DFT formation energy = 1.15 eV per atom

No. 3
This record from Alexandria via LeMat-Bulk describes a relaxed MoW2S crystal. The functional is GGA-PBE.

Cell and atoms, written as CIF:
```
data_MoW2S
_chemical_formula_sum 'Mo4 W8 S4'
_cell_length_a 3.688
_cell_length_b 3.688
_cell_length_c 19.273
_cell_angle_alpha 90.00
_cell_angle_beta 90.00
_cell_angle_gamma 90.00
_symmetry_space_group_name_H-M 'I -4 2 d'
_symmetry_Int_Tables_number 122
_symmetry_space_group_name_Hall 'I -4 2bw'
loop_
_atom_site_label
_atom_site_type_symbol
_atom_site_fract_x
_atom_site_fract_y
_atom_site_fract_z
Mo1 Mo 0.000 0.000 0.000
W1 W 0.244 0.250 0.625
S1 S 0.000 0.000 0.500
```

Results
V = 16.4 A^3/atom
Fermi-level density of states = 18.327 states/eV per cell
Crystal system = tetragonal
Energy relative to the elements, uncorrected = 797.7 meV per atom

The lowest V belongs to which entry?
MoW2S

Please write out number 1 again, unchanged.
This record from Alexandria via LeMat-Bulk describes a relaxed GdSnAu4 crystal. The functional is GGA-PBE.

Cell and atoms, written as CIF:
```
data_GdSnAu4
_chemical_formula_sum 'Gd4 Sn4 Au16'
_cell_length_a 7.996
_cell_length_b 7.996
_cell_length_c 7.996
_cell_angle_alpha 90.00
_cell_angle_beta 90.00
_cell_angle_gamma 90.00
_symmetry_space_group_name_H-M 'F -4 3 m'
_symmetry_Int_Tables_number 216
_symmetry_space_group_name_Hall 'F -4 2 3'
loop_
_atom_site_label
_atom_site_type_symbol
_atom_site_fract_x
_atom_site_fract_y
_atom_site_fract_z
Gd1 Gd 0.000 0.000 0.000
Sn1 Sn 0.250 0.250 0.750
Au1 Au 0.125 0.125 0.375
```

Results
V = 21.3 A^3/atom
Fermi-level density of states = 18.634 states/eV per cell
Crystal system = cubic
DFT formation energy = -0.41 eV per atom